1.
Here is a geometry-optimized SrSc2H structure from the Alexandria database. Energies are from PBE.

Lattice parameters (Å, degrees): 5.2364 5.2364 5.2364 60.00 60.00 60.00
Last column: nearest neighbours and their distance in Å.
Positions (direct):
1 Sc 0.2500 0.2500 0.2500  4 Sr 3.21, 4 H 3.21
2 Sc 0.7500 0.7500 0.7500  4 H 3.21, 4 Sr 3.21
3 Sr 0.5000 0.5000 0.5000  8 Sc 3.21
4 H 0.0000 0.0000 0.0000  8 Sc 3.21

## Properties
VASP energy	-0.125	Ha/atom
magnetization	0.000	μB/cell
ΔE to the lowest computed polymorph	1070	meV per atom
V	25.38	A^3/atom
space group	Fm-3m

=====

2.
Here is a geometry-optimized TaI3N structure from the Alexandria database. Energies are from PBE.

Lattice parameters (Å, degrees): 5.5752 5.5752 5.5752 90.00 90.00 90.00
Last column: nearest neighbours and their distance in Å.
Positions (direct):
1 I 0.0000 0.5000 0.0000  2 Ta 2.79
2 I 0.0000 0.0000 0.5000  2 Ta 2.79
3 I 0.5000 0.0000 0.0000  2 Ta 2.79
4 N 0.5000 0.5000 0.5000  12 I 3.94
5 Ta 0.0000 0.0000 0.0000  6 I 2.79

## Properties
VASP energy	-0.143	Ha/atom
magnetization	2.614	μB/cell
ΔE to the lowest computed polymorph	0	meV per atom
V	34.66	A^3/atom
space group	Pm-3m

=====

3.
Here is a geometry-optimized POs2Se structure from the Alexandria database. Energies are from PBE.

Lattice parameters (Å, degrees): 4.3069 4.3069 3.0790 90.00 90.00 90.00
Last column: nearest neighbours and their distance in Å.
Positions (direct):
1 P 0.5000 0.5000 0.5000  8 Os 2.65
2 Os 0.5000 0.0000 0.0000  4 Se 2.65, 4 P 2.65
3 Os 0.0000 0.5000 0.0000  4 Se 2.65, 4 P 2.65
4 Se 0.0000 0.0000 0.5000  8 Os 2.65

## Properties
VASP energy	-0.268	Ha/atom
magnetization	0.000	μB/cell
ΔE to the lowest computed polymorph	361	meV per atom
V	14.28	A^3/atom
space group	P4/mmm

=====

4.
Here is a geometry-optimized KHoPb2 structure from the Alexandria database. Energies are from PBE.

Lattice parameters (Å, degrees): 3.7629 3.7629 11.0527 80.20 80.20 60.00
Last column: nearest neighbours and their distance in Å.
Positions (direct):
1 Pb 0.7435 0.7435 0.7694  3 Ho 3.31, 3 K 3.64
2 Pb 0.2565 0.2565 0.2306  3 Ho 3.31, 3 K 3.64
3 K 0.5000 0.5000 0.5000  6 Pb 3.64, 6 K 3.76
4 Ho 0.0000 0.0000 0.0000  6 Pb 3.31

## Properties
VASP energy	-0.127	Ha/atom
magnetization	0.000	μB/cell
ΔE to the lowest computed polymorph	106	meV per atom
E_form	-0.19	eV/atom
V	33.22	A^3/atom
space group	R-3m

=====

5.
Here is a geometry-optimized Tb3Co8Ni structure from the Alexandria database. Energies are from PBE.

Lattice parameters (Å, degrees): 4.9880 4.9880 8.6238 73.19 73.19 60.00
Last column: nearest neighbours and their distance in Å.
Positions (direct):
1 Tb 0.3763 0.3763 0.8712  12 Co 2.92-2.99, 4 Tb 3.15-3.16
2 Tb 0.9909 0.9909 0.0272  9 Co 2.83-2.98, 1 Ni 3.00, 3 Tb 3.15
3 Tb 0.5059 0.5059 0.4824  12 Co 2.76-2.95, 3 Ni 2.96
4 Co 0.9333 0.4373 0.1921  6 Co 2.44-2.54
5 Co 0.4439 0.9397 0.6768  6 Co 2.46-2.53, 1 Ni 2.69
6 Co 0.4373 0.4373 0.1921  6 Co 2.44-2.54
7 Co 0.9397 0.9397 0.6768  6 Co 2.46-2.53, 1 Ni 2.69
8 Co 0.1891 0.1891 0.4326  6 Co 2.44-2.46
9 Co 0.6887 0.6887 0.9340  6 Co 2.53-2.54
10 Co 0.4373 0.9333 0.1921  6 Co 2.44-2.54
11 Co 0.9397 0.4439 0.6768  6 Co 2.46-2.53, 1 Ni 2.69
12 Ni 0.8680 0.8680 0.3961  12 Co 2.69-3.00, 4 Tb 2.96-3.00

## Properties
VASP energy	-0.238	Ha/atom
magnetization	10.126	μB/cell
E_form	-0.10	eV/atom
V	14.60	A^3/atom
space group	R3m

=====

6.
Here is a geometry-optimized ErBiH6Ir2 structure from the Alexandria database. Energies are from PBE.

Lattice parameters (Å, degrees): 7.5109 7.5108 4.4921 89.97 89.97 114.33
Last column: nearest neighbours and their distance in Å.
Positions (direct):
1 Er 0.1356 0.8644 0.2500  8 H 2.30-2.36
2 Er 0.8644 0.1356 0.7500  8 H 2.30-2.36
3 Bi 0.5942 0.4058 0.2500  4 H 2.67-2.68
4 Bi 0.4058 0.5942 0.7500  4 H 2.67-2.68
5 H 0.0580 0.4195 0.0194  1 Ir 1.63, 1 H 1.77
6 H 0.5805 0.9420 0.4806  1 Ir 1.63, 1 H 1.77
7 H 0.9420 0.5805 0.9806  1 Ir 1.63, 1 H 1.77
8 H 0.4195 0.0580 0.5194  1 Ir 1.63, 1 H 1.77
9 H 0.1290 0.1292 0.0001  2 Ir 1.76
10 H 0.8708 0.8710 0.4999  2 Ir 1.76
11 H 0.8710 0.8708 0.9999  2 Ir 1.76
12 H 0.1292 0.1290 0.5001  2 Ir 1.76
13 H 0.0593 0.4203 0.4818  1 Ir 1.63, 1 H 1.77
14 H 0.5797 0.9407 0.0182  1 Ir 1.63, 1 H 1.77
15 H 0.9407 0.5797 0.5182  1 Ir 1.63, 1 H 1.77
16 H 0.4203 0.0593 0.9818  1 Ir 1.63, 1 H 1.77
17 Ir 0.3200 0.1582 0.7502  4 H 1.63-1.76
18 Ir 0.8418 0.6800 0.7498  4 H 1.63-1.76
19 Ir 0.6800 0.8418 0.2498  4 H 1.63-1.76
20 Ir 0.1582 0.3200 0.2502  4 H 1.63-1.76

## Properties
VASP energy	-0.177	Ha/atom
magnetization	0.001	μB/cell
V	11.55	A^3/atom
space group	C2/c

=====

7.
Here is a geometry-optimized LiSc7Hg4 structure from the Alexandria database. Energies are from PBE.

Lattice parameters (Å, degrees): 5.2348 8.2861 7.4566 69.16 69.45 71.59
Last column: nearest neighbours and their distance in Å.
Positions (direct):
1 Li 0.0000 0.0000 0.0000  2 Sc 2.62
2 Sc 0.7957 0.8832 0.5254  4 Hg 3.15-3.37, 6 Sc 3.16-3.32, 1 Li 3.53
3 Sc 0.2043 0.1168 0.4746  4 Hg 3.15-3.37, 6 Sc 3.16-3.32, 1 Li 3.53
4 Sc 0.0702 0.5833 0.2762  3 Hg 2.88-2.99, 1 Sc 3.04
5 Sc 0.9298 0.4167 0.7238  3 Hg 2.88-2.99, 1 Sc 3.04
6 Sc 0.2523 0.7120 0.7834  4 Hg 2.77-2.91, 1 Li 3.05
7 Sc 0.5000 0.0000 0.0000  2 Li 2.62, 2 Hg 2.78
8 Sc 0.7477 0.2880 0.2166  4 Hg 2.77-2.91, 1 Li 3.05
9 Hg 0.5508 0.2831 0.6152  4 Sc 2.77-2.99, 1 Hg 3.05
10 Hg 0.4492 0.7169 0.3848  4 Sc 2.77-2.99, 1 Hg 3.05
11 Hg 0.6865 0.6532 0.9738  5 Sc 2.78-2.91, 1 Hg 3.05
12 Hg 0.3135 0.3468 0.0262  5 Sc 2.78-2.91, 1 Hg 3.05

## Properties
VASP energy	-0.149	Ha/atom
magnetization	2.597	μB/cell
E_form	-0.10	eV/atom
V	23.02	A^3/atom
space group	C2/m

=====

8.
Here is a geometry-optimized CoReW2 structure from the Alexandria database. Energies are from PBE.

Lattice parameters (Å, degrees): 4.3249 2.6808 5.1799 79.85 90.00 90.00
Last column: nearest neighbours and their distance in Å.
Positions (direct):
1 Co 0.5000 0.2500 0.2500  4 W 2.66, 2 Co 2.68, 2 Re 2.70
2 Re 0.5000 0.7500 0.7500  4 W 2.68, 2 Re 2.68, 2 Co 2.70
3 W 0.0000 0.9975 0.0047  4 W 2.65-2.75, 2 Co 2.66, 2 Re 2.68
4 W 0.0000 0.5025 0.4953  4 W 2.65-2.75, 2 Co 2.66, 2 Re 2.68

## Properties
VASP energy	-0.411	Ha/atom
magnetization	1.458	μB/cell
ΔE to the lowest computed polymorph	55	meV per atom
E_form	0.18	eV/atom
V	14.78	A^3/atom
space group	P2/m

=====

9.
Here is a geometry-optimized Tb4Hg2S structure from the Alexandria database. Energies are from PBE.

Lattice parameters (Å, degrees): 5.1905 5.1905 8.2853 108.25 108.25 90.00
Last column: nearest neighbours and their distance in Å.
Positions (direct):
1 S 0.0000 0.0000 0.0000  6 Tb 2.60-2.78
2 Tb 0.8130 0.8130 0.6259  1 S 2.78, 1 Hg 2.91
3 Tb 0.1870 0.1870 0.3741  1 S 2.78, 1 Hg 2.91
4 Tb 0.0000 0.5000 0.0000  2 S 2.60
5 Tb 0.5000 0.0000 0.0000  2 S 2.60
6 Hg 0.6169 0.6169 0.2339  5 Tb 2.91-3.12
7 Hg 0.3831 0.3831 0.7661  5 Tb 2.91-3.12

## Properties
VASP energy	-0.149	Ha/atom
magnetization	0.000	μB/cell
V	28.59	A^3/atom
space group	I4/mmm

=====

10.
Here is a geometry-optimized Pr6SmIn3 structure from the Alexandria database. Energies are from PBE.

Lattice parameters (Å, degrees): 7.9489 9.5932 9.5932 111.03 90.00 90.00
Last column: nearest neighbours and their distance in Å.
Positions (direct):
1 Pr 0.1044 0.7699 0.7017  4 In 3.29-3.44, 3 Pr 3.49-3.62
2 Pr 0.6044 0.7017 0.7699  4 In 3.29-3.44, 3 Pr 3.49-3.62
3 Pr 0.2904 0.5456 0.9223  3 In 3.19-3.33, 1 Sm 3.41, 1 Pr 3.49
4 Pr 0.7904 0.9223 0.5456  3 In 3.19-3.33, 1 Sm 3.41, 1 Pr 3.49
5 Pr 0.2935 0.9520 0.0480  4 In 3.44-3.53, 1 Sm 3.47, 6 Pr 3.49-3.79
6 Pr 0.6337 0.3046 0.6954  3 In 3.38-3.49, 6 Pr 3.62-3.73
7 Pr 0.1337 0.6954 0.3046  3 In 3.38-3.49, 6 Pr 3.62-3.73
8 Pr 0.7935 0.0480 0.9520  4 In 3.44-3.53, 1 Sm 3.47, 6 Pr 3.49-3.79
9 Pr 0.2904 0.0777 0.4544  3 In 3.19-3.33, 1 Sm 3.41, 1 Pr 3.49
10 Pr 0.7904 0.4544 0.0777  3 In 3.19-3.33, 1 Sm 3.41, 1 Pr 3.49
11 Pr 0.1044 0.2983 0.2301  4 In 3.29-3.44, 3 Pr 3.49-3.62
12 Pr 0.6044 0.2301 0.2983  4 In 3.29-3.44, 3 Pr 3.49-3.62
13 Sm 0.0887 0.2098 0.7902  2 In 3.34, 3 Pr 3.41-3.47
14 Sm 0.5887 0.7902 0.2098  2 In 3.34, 3 Pr 3.41-3.47
15 In 0.4313 0.9945 0.7259  1 In 3.04, 4 Pr 3.19-3.33, 1 Sm 3.34
16 In 0.9313 0.7259 0.9945  1 In 3.04, 4 Pr 3.19-3.33, 1 Sm 3.34
17 In 0.3174 0.4475 0.5525  7 Pr 3.33-3.44
18 In 0.8174 0.5525 0.4475  7 Pr 3.33-3.44
19 In 0.9313 0.0055 0.2741  1 In 3.04, 4 Pr 3.19-3.33, 1 Sm 3.34
20 In 0.4313 0.2741 0.0055  1 In 3.04, 4 Pr 3.19-3.33, 1 Sm 3.34

## Properties
VASP energy	-0.159	Ha/atom
magnetization	0.000	μB/cell
E_form	-0.16	eV/atom
V	34.14	A^3/atom
space group	Cmc2_1

=====

11.
Here is a geometry-optimized Ni15Ge4Sb structure from the Alexandria database. Energies are from PBE.

Lattice parameters (Å, degrees): 3.6133 3.6133 17.9896 90.00 90.00 90.00
Last column: nearest neighbours and their distance in Å.
Positions (direct):
1 Ni 0.5000 0.5000 0.0000  4 Sb 2.55, 8 Ni 2.64
2 Ni 0.5000 0.5000 0.2043  8 Ni 2.52-2.53, 4 Ge 2.56
3 Ni 0.5000 0.5000 0.4014  8 Ni 2.53, 4 Ge 2.55
4 Ni 0.5000 0.5000 0.5986  8 Ni 2.53, 4 Ge 2.55
5 Ni 0.5000 0.5000 0.7957  8 Ni 2.52-2.53, 4 Ge 2.56
6 Ni 0.5000 0.0000 0.1067  8 Ni 2.52-2.64, 2 Ge 2.54, 2 Sb 2.64
7 Ni 0.5000 0.0000 0.3031  4 Ge 2.51-2.53, 8 Ni 2.53-2.55
8 Ni 0.5000 0.0000 0.5000  4 Ge 2.53, 8 Ni 2.53-2.55
9 Ni 0.5000 0.0000 0.6969  4 Ge 2.51-2.53, 8 Ni 2.53-2.55
10 Ni 0.5000 0.0000 0.8933  8 Ni 2.52-2.64, 2 Ge 2.54, 2 Sb 2.64
11 Ni 0.0000 0.5000 0.1067  8 Ni 2.52-2.64, 2 Ge 2.54, 2 Sb 2.64
12 Ni 0.0000 0.5000 0.3031  4 Ge 2.51-2.53, 8 Ni 2.53-2.55
13 Ni 0.0000 0.5000 0.5000  4 Ge 2.53, 8 Ni 2.53-2.55
14 Ni 0.0000 0.5000 0.6969  4 Ge 2.51-2.53, 8 Ni 2.53-2.55
15 Ni 0.0000 0.5000 0.8933  8 Ni 2.52-2.64, 2 Ge 2.54, 2 Sb 2.64
16 Ge 0.0000 0.0000 0.2059  12 Ni 2.51-2.56
17 Ge 0.0000 0.0000 0.4019  12 Ni 2.53-2.55
18 Ge 0.0000 0.0000 0.5981  12 Ni 2.53-2.55
19 Ge 0.0000 0.0000 0.7941  12 Ni 2.51-2.56
20 Sb 0.0000 0.0000 0.0000  12 Ni 2.55-2.64

## Properties
VASP energy	-0.210	Ha/atom
magnetization	0.000	μB/cell
V	11.74	A^3/atom
space group	P4/mmm

=====

12.
Here is a geometry-optimized GdMgIr2 structure from the Alexandria database. Energies are from PBE.

Lattice parameters (Å, degrees): 3.6499 4.4393 4.4393 90.00 90.00 90.00
Last column: nearest neighbours and their distance in Å.
Positions (direct):
1 Gd 0.5000 0.0000 0.0000  8 Ir 2.87, 4 Mg 3.14
2 Mg 0.5000 0.5000 0.5000  8 Ir 2.87, 4 Gd 3.14
3 Ir 0.0000 0.0000 0.5000  4 Mg 2.87, 4 Gd 2.87, 4 Ir 3.14
4 Ir 0.0000 0.5000 0.0000  4 Gd 2.87, 4 Mg 2.87, 4 Ir 3.14

## Properties
VASP energy	-0.325	Ha/atom
magnetization	7.017	μB/cell
E_form	-0.50	eV/atom
V	17.98	A^3/atom
space group	P4/mmm

=====

13.
Here is a geometry-optimized PuZrIn2 structure from the Alexandria database. Energies are from PBE.

Lattice parameters (Å, degrees): 3.2579 3.2579 10.8593 81.37 81.37 60.00
Last column: nearest neighbours and their distance in Å.
Positions (direct):
1 In 0.2537 0.2537 0.2388  3 Zr 3.17, 6 In 3.26, 3 Pu 3.37
2 In 0.7463 0.7463 0.7612  3 Zr 3.17, 6 In 3.26, 3 Pu 3.37
3 Zr 0.0000 0.0000 0.0000  6 In 3.17, 6 Zr 3.26
4 Pu 0.5000 0.5000 0.5000  6 Pu 3.26, 6 In 3.37

## Properties
VASP energy	-0.263	Ha/atom
magnetization	5.822	μB/cell
ΔE to the lowest computed polymorph	165	meV per atom
E_form	-0.08	eV/atom
V	24.58	A^3/atom
space group	R-3m

=====

14.
Here is a geometry-optimized Ga2RhI structure from the Alexandria database. Energies are from PBE.

Lattice parameters (Å, degrees): 6.2407 6.2407 7.5730 65.67 65.67 90.00
Last column: nearest neighbours and their distance in Å.
Positions (direct):
1 I 0.0000 0.0000 0.0000  4 Ga 3.09
2 I 0.7500 0.2500 0.5000  4 Ga 3.09
3 Rh 0.5000 0.5000 0.0000  4 Ga 2.39
4 Rh 0.2500 0.7500 0.5000  4 Ga 2.39
5 Ga 0.5265 0.1250 0.2500  2 Rh 2.39
6 Ga 0.2235 0.6250 0.2500  2 Rh 2.39
7 Ga 0.3750 0.4735 0.7500  2 Rh 2.39
8 Ga 0.8750 0.7765 0.7500  2 Rh 2.39

## Properties
VASP energy	-0.138	Ha/atom
magnetization	0.000	μB/cell
ΔE to the lowest computed polymorph	0	meV per atom
V	29.96	A^3/atom
space group	I-42d

=====

15.
Here is a geometry-optimized TeS2N2 structure from the Alexandria database. Energies are from PBE.

Lattice parameters (Å, degrees): 3.9072 3.9072 4.4780 90.00 90.00 90.00
Last column: nearest neighbours and their distance in Å.
Positions (direct):
1 S 0.0000 0.5000 0.0000  2 N 1.95
2 S 0.5000 0.0000 0.0000  2 N 1.95
3 Te 0.5000 0.5000 0.5000  4 N 2.76, 8 S 2.97
4 N 0.0000 0.0000 0.0000  4 S 1.95
5 N 0.0000 0.0000 0.5000  2 N 2.24

## Properties
VASP energy	-0.143	Ha/atom
magnetization	0.481	μB/cell
ΔE to the lowest computed polymorph	1673	meV per atom
V	13.67	A^3/atom
space group	P4/mmm

=====

16.
Here is a geometry-optimized HgTe4Pb structure from the Alexandria database. Energies are from PBE.

Lattice parameters (Å, degrees): 6.4683 6.4683 6.4683 60.00 60.00 60.00
Last column: nearest neighbours and their distance in Å.
Positions (direct):
1 Hg 0.7500 0.7500 0.7500  12 Te 3.79, 4 Pb 3.96
2 Te 0.8765 0.3745 0.3745  6 Te 3.22-3.25
3 Te 0.3745 0.3745 0.8765  6 Te 3.22-3.25
4 Te 0.3745 0.8765 0.3745  6 Te 3.22-3.25
5 Te 0.3745 0.3745 0.3745  6 Te 3.22-3.25
6 Pb 0.0000 0.0000 0.0000  12 Te 3.79, 4 Hg 3.96

## Properties
VASP energy	-0.095	Ha/atom
magnetization	0.000	μB/cell
V	31.89	A^3/atom
space group	F-43m

=====

17.
Here is a geometry-optimized Cs3KIn structure from the Alexandria database. Energies are from PBE.

Lattice parameters (Å, degrees): 8.0729 8.0729 8.0729 90.00 90.00 90.00
Last column: nearest neighbours and their distance in Å.
Positions (direct):
1 Cs 0.0000 0.5000 0.0000  2 K 4.04
2 Cs 0.0000 0.0000 0.5000  2 K 4.04
3 Cs 0.5000 0.0000 0.0000  2 K 4.04
4 K 0.0000 0.0000 0.0000  6 Cs 4.04
5 In 0.5000 0.5000 0.5000  12 Cs 5.71

## Properties
VASP energy	-0.031	Ha/atom
magnetization	1.105	μB/cell
ΔE to the lowest computed polymorph	327	meV per atom
E_form	0.43	eV/atom
V	105.22	A^3/atom
space group	Pm-3m

=====

18.
Here is a geometry-optimized Ba2MnRh structure from the Alexandria database. Energies are from PBE.

Lattice parameters (Å, degrees): 7.7100 7.7100 7.7100 148.02 143.98 48.92
Last column: nearest neighbours and their distance in Å.
Positions (direct):
1 Ba 0.9998 0.9998 0.0000  2 Rh 3.35, 4 Mn 3.37
2 Ba 0.7448 0.2448 0.5000  4 Rh 3.42, 2 Mn 3.46
3 Mn 0.4230 0.4230 0.0000  2 Rh 2.47
4 Rh 0.3325 0.8325 0.5000  2 Mn 2.47

## Properties
VASP energy	-0.182	Ha/atom
magnetization	4.247	μB/cell
ΔE to the lowest computed polymorph	146	meV per atom
E_form	0.14	eV/atom
V	35.53	A^3/atom
space group	Imm2